LiNdGdBe: relaxed, PBE.

The value obtained for the total energy is -5.98 eV per atom. Its space group is F-43m, No. 216. The density of states at the Fermi level comes out at 3.140 states/eV per cell. The formation enthalpy at 0 K is 0.147 eV/atom.

a = 5.0909 Å, b = 5.0909 Å, c = 5.0909 Å
α = 60.00°, β = 60.00°, γ = 60.00°
Closest atoms and distances in Å follow each position.
Sites, in units of the cell vectors:
Be 0.7500 0.7500 0.7500  4 Nd 3.12, 4 Gd 3.12
Gd 0.5000 0.5000 0.5000  4 Be 3.12, 4 Li 3.12
Nd 0.0000 0.0000 0.0000  4 Li 3.12, 4 Be 3.12
Li 0.2500 0.2500 0.2500  4 Gd 3.12, 4 Nd 3.12